# 1
Pr6HoEr2 | PBE | optimized geometry

Geometry as CIF:
```
data_Pr6HoEr2
_chemical_formula_sum 'Pr12 Ho2 Er4'
_symmetry_space_group_name_H-M 'P 42/m n m'
_symmetry_Int_Tables_number 136
_symmetry_space_group_name_Hall '-P 4n 2n'
_cell_length_a 8.329
_cell_length_b 8.329
_cell_length_c 10.526
_cell_angle_alpha 90.00
_cell_angle_beta 90.00
_cell_angle_gamma 90.00
loop_
_atom_site_label
_atom_site_type_symbol
_atom_site_fract_x
_atom_site_fract_y
_atom_site_fract_z
Pr1 Pr 0.239 0.239 0.000
Pr2 Pr 0.239 0.239 0.333
Ho1 Ho 0.000 0.000 0.500
Er1 Er 0.000 0.000 0.166
```

Summary:
Magnetic moment = 0.00 μB per formula unit
Energy above the most stable polymorph in this dataset = 468 meV per atom
Volume = 730.1 Å³/cell
ΔE_f = 0.60 eV per atom



# 2
Pm3NdGe3 | PBE | optimized geometry

Geometry as CIF:
```
data_Pm3NdGe3
_chemical_formula_sum 'Pm9 Nd3 Ge9'
_symmetry_space_group_name_H-M 'R 3 m'
_symmetry_Int_Tables_number 160
_symmetry_space_group_name_Hall 'R 3 -2"'
_cell_length_a 10.2717
_cell_length_b 10.2717
_cell_length_c 6.2241
_cell_angle_alpha 90.00
_cell_angle_beta 90.00
_cell_angle_gamma 120.00
loop_
_atom_site_label
_atom_site_type_symbol
_atom_site_fract_x
_atom_site_fract_y
_atom_site_fract_z
Pm1 Pm 0.0443 0.5222 0.0000
Nd1 Nd 0.0000 0.0000 0.9103
Ge1 Ge 0.0003 0.5001 0.4796
```

Summary:
Magnetic moment = 0.00 μB per formula unit
Volume = 568.7 Å³/cell
ΔE_f = -0.63 eV per atom



# 3
Zr2SiPb | PBE | optimized geometry

Geometry as CIF:
```
data_Zr2SiPb
_chemical_formula_sum 'Zr6 Si3 Pb3'
_symmetry_space_group_name_H-M 'R -3 m'
_symmetry_Int_Tables_number 166
_symmetry_space_group_name_Hall '-R 3 2"'
_cell_length_a 3.7094
_cell_length_b 3.7094
_cell_length_c 22.9262
_cell_angle_alpha 90.00
_cell_angle_beta 90.00
_cell_angle_gamma 120.00
loop_
_atom_site_label
_atom_site_type_symbol
_atom_site_fract_x
_atom_site_fract_y
_atom_site_fract_z
Zr1 Zr 0.0000 0.0000 0.2330
Si1 Si 0.0000 0.0000 0.5000
Pb1 Pb 0.0000 0.0000 0.0000
```

Summary:
Magnetic moment = 0.00 μB per formula unit
Energy above the most stable polymorph in this dataset = 0 meV per atom
Volume = 273.2 Å³/cell



# 4
Na2MoIrSe | PBE | optimized geometry

Geometry as CIF:
```
data_Na2MoIrSe
_chemical_formula_sum 'Na2 Mo1 Ir1 Se1'
_symmetry_space_group_name_H-M 'P 4/m m m'
_symmetry_Int_Tables_number 123
_symmetry_space_group_name_Hall '-P 4 2'
_cell_length_a 4.923
_cell_length_b 4.923
_cell_length_c 4.789
_cell_angle_alpha 90.00
_cell_angle_beta 90.00
_cell_angle_gamma 90.00
loop_
_atom_site_label
_atom_site_type_symbol
_atom_site_fract_x
_atom_site_fract_y
_atom_site_fract_z
Na1 Na 0.000 0.500 0.000
Mo1 Mo 0.000 0.000 0.500
Ir1 Ir 0.500 0.500 0.500
Se1 Se 0.000 0.000 0.000
```

Summary:
Magnetic moment = 2.47 μB per formula unit
Total DFT energy (no corrections) = -4.134 eV/atom
Volume = 116.1 Å³/cell



> What is the formula in the second record?

Pm3NdGe3